# 1
{
  "formula": "Tm2Sc8In",
  "functional": "PBE",
  "state": "optimized geometry",
  "cell": [[6.389, 0.588, 0.446], [0.999, 7.579, 1.856], [0.999, 3.828, 6.799]],
  "species": ["Sc", "Sc", "Sc", "Tm", "Sc", "Sc", "Sc", "Sc", "Sc", "In", "Tm"],
  "frac_coords": [[0.300, 0.815, 0.352], [0.700, 0.185, 0.648], [0.024, 0.230, 0.230], [0.423, 0.803, 0.803], [0.809, 0.596, 0.596], [0.976, 0.770, 0.770], [0.700, 0.648, 0.185], [0.300, 0.352, 0.815], [0.191, 0.404, 0.404], [0.000, 0.000, 0.000], [0.577, 0.197, 0.197]],
  "formation_energy_ev_per_atom": 0.08,
  "magmom_total_mub_per_fu": 0.00,
  "dos_at_fermi_per_ev_fu": 18.00,
  "sg": "C2/m (12)"
}

=====

# 2
{
  "formula": "TmSc9In2",
  "functional": "PBE",
  "state": "optimized geometry",
  "cell": [[4.549, 0.000, 0.000], [0.000, 4.549, 0.000], [0.000, 0.000, 13.941]],
  "species": ["Sc", "Sc", "Sc", "Sc", "In", "Tm", "Sc", "Sc", "In", "Sc", "Sc", "Sc"],
  "frac_coords": [[0.500, 0.500, 0.000], [0.500, 0.000, 0.826], [0.000, 0.500, 0.826], [0.000, 0.500, 0.174], [0.000, 0.000, 0.662], [0.000, 0.000, 0.000], [0.500, 0.500, 0.340], [0.000, 0.500, 0.500], [0.000, 0.000, 0.338], [0.500, 0.000, 0.500], [0.500, 0.000, 0.174], [0.500, 0.500, 0.660]],
  "formation_energy_ev_per_atom": -0.16,
  "magmom_total_mub_per_fu": 2.20,
  "dos_at_fermi_per_ev_fu": 18.81,
  "sg": "P4/mmm (123)"
}

=====

# 3
{
  "formula": "Tm5Sc2In3",
  "functional": "PBE",
  "state": "optimized geometry",
  "cell": [[-5.246, -0.165, 3.579], [-5.823, -7.747, -3.255], [2.391, -4.337, 8.943]],
  "species": ["Tm", "In", "Tm", "Tm", "In", "Sc", "Tm", "Tm", "Sc", "Tm", "Tm", "In", "Tm", "In", "Sc", "Tm", "Sc", "Tm", "In", "In"],
  "frac_coords": [[0.250, 0.500, 0.500], [0.250, 0.000, 0.000], [0.422, 0.239, 0.917], [0.507, 0.243, 0.243], [0.358, 0.491, 0.793], [0.646, 0.164, 0.544], [0.993, 0.757, 0.757], [0.493, 0.757, 0.757], [0.354, 0.836, 0.456], [0.078, 0.083, 0.761], [0.007, 0.243, 0.243], [0.750, 0.000, 0.000], [0.578, 0.761, 0.083], [0.858, 0.793, 0.491], [0.146, 0.544, 0.164], [0.922, 0.917, 0.239], [0.854, 0.456, 0.836], [0.750, 0.500, 0.500], [0.642, 0.509, 0.207], [0.142, 0.207, 0.509]],
  "formation_energy_ev_per_atom": 0.05,
  "magmom_total_mub_per_fu": 0.00,
  "dos_at_fermi_per_ev_fu": 12.80,
  "sg": "Ibam (72)"
}

=====

# 4
{
  "formula": "TmSc6In",
  "functional": "PBE",
  "state": "optimized geometry",
  "cell": [[6.329, -0.125, -0.697], [-2.470, 5.828, -0.697], [-1.621, -2.397, 6.142]],
  "species": ["Sc", "Sc", "Sc", "In", "Sc", "Sc", "Sc", "Tm"],
  "frac_coords": [[0.777, 0.249, 0.253], [0.249, 0.777, 0.253], [0.750, 0.750, 0.240], [0.000, 0.000, 0.000], [0.223, 0.751, 0.747], [0.250, 0.250, 0.760], [0.751, 0.223, 0.747], [0.500, 0.500, 0.500]],
  "formation_energy_ev_per_atom": 0.07,
  "magmom_total_mub_per_fu": 0.00,
  "dos_at_fermi_per_ev_fu": 14.07,
  "sg": "C2/m (12)"
}

=====

# 5
{
  "formula": "TmSc6In3",
  "functional": "PBE",
  "state": "optimized geometry",
  "cell": [[7.169, 0.000, 0.000], [0.000, 8.351, 0.982], [0.000, -0.907, 8.359]],
  "species": ["In", "In", "Sc", "Sc", "In", "Sc", "Sc", "Tm", "Sc", "Tm", "Sc", "In", "Sc", "Sc", "In", "Sc", "Sc", "In", "Sc", "Sc"],
  "frac_coords": [[0.922, 0.030, 0.265], [0.422, 0.970, 0.735], [0.123, 0.332, 0.262], [0.808, 0.987, 0.592], [0.922, 0.735, 0.970], [0.623, 0.262, 0.332], [0.808, 0.408, 0.013], [0.605, 0.729, 0.271], [0.720, 0.031, 0.969], [0.105, 0.271, 0.729], [0.308, 0.013, 0.408], [0.422, 0.265, 0.030], [0.123, 0.738, 0.668], [0.220, 0.969, 0.031], [0.857, 0.499, 0.501], [0.623, 0.668, 0.738], [0.097, 0.710, 0.290], [0.357, 0.501, 0.499], [0.308, 0.592, 0.987], [0.597, 0.290, 0.710]],
  "formation_energy_ev_per_atom": -0.13,
  "magmom_total_mub_per_fu": 0.00,
  "dos_at_fermi_per_ev_fu": 9.88,
  "sg": "Cmc2_1 (36)"
}

=====

# 6
{
  "formula": "Tm8ScIn6",
  "functional": "PBE",
  "state": "optimized geometry",
  "cell": [[8.842, 0.000, 0.000], [4.421, 7.657, 0.000], [4.421, 2.552, 6.428]],
  "species": ["In", "Tm", "Tm", "Tm", "Tm", "Tm", "In", "Sc", "In", "Tm", "Tm", "In", "Tm", "In", "In"],
  "frac_coords": [[0.386, 0.060, 0.821], [0.112, 0.451, 0.661], [0.451, 0.777, 0.661], [0.549, 0.223, 0.339], [0.888, 0.549, 0.339], [0.223, 0.888, 0.339], [0.733, 0.386, 0.821], [0.000, 0.000, 0.000], [0.614, 0.940, 0.179], [0.777, 0.112, 0.661], [0.666, 0.666, 0.002], [0.940, 0.267, 0.179], [0.334, 0.334, 0.998], [0.267, 0.614, 0.179], [0.060, 0.733, 0.821]],
  "formation_energy_ev_per_atom": -0.18,
  "magmom_total_mub_per_fu": 0.00,
  "dos_at_fermi_per_ev_fu": 19.47,
  "sg": "R-3 (148)"
}